Compound: Nd3PuTl4S8
Source: Alexandria via LeMat-Bulk
Functional: PBE
Structure: optimized geometry

Structure (CIF):
```
data_Nd3PuTl4S8
_chemical_formula_sum 'Nd9 Pu3 Tl12 S24'
_cell_length_a 8.3289
_cell_length_b 8.3289
_cell_length_c 22.4442
_cell_angle_alpha 90.00
_cell_angle_beta 90.00
_cell_angle_gamma 120.00
_space_group_name_H-M_alt 'R -3 m'
_space_group_IT_number 166
_space_group_name_Hall '-R 3 2"'
loop_
_atom_site_label
_atom_site_type_symbol
_atom_site_fract_x
_atom_site_fract_y
_atom_site_fract_z
_atom_site_occupancy
Nd1 Nd 0.0000 0.5000 0.0000 1
Pu1 Pu 0.0000 0.0000 0.0000 1
Tl1 Tl 0.0000 0.0000 0.5000 1
Tl2 Tl 0.0000 0.5000 0.5000 1
S1 S 0.0000 0.0000 0.2649 1
S2 S 0.0055 0.5028 0.7339 1
```

Computed properties:
Raw formation energy   -1.38 eV/atom

Compound: TaPOs2
Source: Alexandria via LeMat-Bulk
Functional: PBE
Structure: optimized geometry

Structure (CIF):
```
data_TaPOs2
_chemical_formula_sum 'Ta4 P4 Os8'
_cell_length_a 5.5332
_cell_length_b 5.5332
_cell_length_c 10.9263
_cell_angle_alpha 90.00
_cell_angle_beta 90.00
_cell_angle_gamma 90.00
_space_group_name_H-M_alt 'I -4 2 d'
_space_group_IT_number 122
_space_group_name_Hall 'I -4 2bw'
loop_
_atom_site_label
_atom_site_type_symbol
_atom_site_fract_x
_atom_site_fract_y
_atom_site_fract_z
_atom_site_occupancy
Ta1 Ta 0.0000 0.0000 0.0000 1
P1 P 0.0000 0.0000 0.5000 1
Os1 Os 0.2074 0.2500 0.6250 1
```

Computed properties:
DFT formation energy   0.53 eV per atom

Compound: VAsPt
Source: Alexandria via LeMat-Bulk
Functional: PBE
Structure: optimized geometry

Structure (CIF):
```
data_VAsPt
_chemical_formula_sum 'V2 As2 Pt2'
_cell_length_a 3.0336
_cell_length_b 3.0336
_cell_length_c 12.1890
_cell_angle_alpha 90.00
_cell_angle_beta 90.00
_cell_angle_gamma 90.00
_space_group_name_H-M_alt 'I 4 m m'
_space_group_IT_number 107
_space_group_name_Hall 'I 4 -2'
loop_
_atom_site_label
_atom_site_type_symbol
_atom_site_fract_x
_atom_site_fract_y
_atom_site_fract_z
_atom_site_occupancy
V1 V 0.0000 0.0000 0.0000 1
As1 As 0.0000 0.0000 0.3989 1
Pt1 Pt 0.0000 0.0000 0.1874 1
```

Computed properties:
DFT formation energy   0.18 eV per atom

Compound: Er3SnRh4
Source: Alexandria via LeMat-Bulk
Functional: PBE
Structure: optimized geometry

Structure (CIF):
```
data_Er3SnRh4
_chemical_formula_sum 'Er9 Sn3 Rh12'
_cell_length_a 4.7393
_cell_length_b 4.7393
_cell_length_c 23.2405
_cell_angle_alpha 90.00
_cell_angle_beta 90.00
_cell_angle_gamma 120.00
_space_group_name_H-M_alt 'R -3 m'
_space_group_IT_number 166
_space_group_name_Hall '-R 3 2"'
loop_
_atom_site_label
_atom_site_type_symbol
_atom_site_fract_x
_atom_site_fract_y
_atom_site_fract_z
_atom_site_occupancy
Er1 Er 0.0000 0.0000 0.0000 1
Er2 Er 0.0000 0.0000 0.2463 1
Sn1 Sn 0.0000 0.0000 0.5000 1
Rh1 Rh 0.0000 0.0000 0.1243 1
Rh2 Rh 0.0000 0.0000 0.3764 1
```

Computed properties:
DFT formation energy   -0.87 eV per atom

Compound: ScTa2Co
Source: Alexandria via LeMat-Bulk
Functional: PBE
Structure: optimized geometry

Structure (CIF):
```
data_ScTa2Co
_chemical_formula_sum 'Sc2 Ta4 Co2'
_cell_length_a 3.2120
_cell_length_b 4.4533
_cell_length_c 9.4861
_cell_angle_alpha 90.00
_cell_angle_beta 90.00
_cell_angle_gamma 90.00
_space_group_name_H-M_alt 'I m m m'
_space_group_IT_number 71
_space_group_name_Hall '-I 2 2'
loop_
_atom_site_label
_atom_site_type_symbol
_atom_site_fract_x
_atom_site_fract_y
_atom_site_fract_z
_atom_site_occupancy
Sc1 Sc 0.0000 0.0000 0.0000 1
Ta1 Ta 0.0000 0.5000 0.2329 1
Co1 Co 0.0000 0.0000 0.5000 1
```

Computed properties:
Offset from the most stable computed form   0 meV/atom
DFT formation energy   -0.05 eV per atom

Compound: BaRe2
Source: Alexandria via LeMat-Bulk
Functional: PBE
Structure: optimized geometry

Structure (CIF):
```
data_BaRe2
_chemical_formula_sum 'Ba4 Re8'
_cell_length_a 3.1164
_cell_length_b 23.5275
_cell_length_c 4.3215
_cell_angle_alpha 90.00
_cell_angle_beta 90.00
_cell_angle_gamma 90.00
_space_group_name_H-M_alt 'C m c m'
_space_group_IT_number 63
_space_group_name_Hall '-C 2c 2'
loop_
_atom_site_label
_atom_site_type_symbol
_atom_site_fract_x
_atom_site_fract_y
_atom_site_fract_z
_atom_site_occupancy
Ba1 Ba 0.0000 0.1685 0.2500 1
Re1 Re 0.0000 0.0473 0.7500 1
Re2 Re 0.0000 0.4558 0.7500 1
```

Computed properties:
Offset from the most stable computed form   0 meV/atom
DFT formation energy   0.67 eV per atom

Compound: BaTe2SI
Source: Alexandria via LeMat-Bulk
Functional: PBE
Structure: optimized geometry

Structure (CIF):
```
data_BaTe2SI
_chemical_formula_sum 'Ba1 Te2 S1 I1'
_cell_length_a 5.4085
_cell_length_b 5.4085
_cell_length_c 5.7896
_cell_angle_alpha 90.00
_cell_angle_beta 90.00
_cell_angle_gamma 90.00
_space_group_name_H-M_alt 'P 4/m m m'
_space_group_IT_number 123
_space_group_name_Hall '-P 4 2'
loop_
_atom_site_label
_atom_site_type_symbol
_atom_site_fract_x
_atom_site_fract_y
_atom_site_fract_z
_atom_site_occupancy
Ba1 Ba 0.0000 0.0000 0.0000 1
Te1 Te 0.0000 0.5000 0.5000 1
S1 S 0.5000 0.5000 0.5000 1
I1 I 0.5000 0.5000 0.0000 1
```

Computed properties:
Offset from the most stable computed form   0 meV/atom
Raw formation energy   -0.59 eV/atom

Compound: Sm3Tm3Ni4
Source: Alexandria via LeMat-Bulk
Functional: PBE
Structure: optimized geometry

Structure (CIF):
```
data_Sm3Tm3Ni4
_chemical_formula_sum 'Sm6 Tm6 Ni8'
_cell_length_a 3.8356
_cell_length_b 10.6215
_cell_length_c 10.7899
_cell_angle_alpha 90.00
_cell_angle_beta 90.00
_cell_angle_gamma 90.00
_space_group_name_H-M_alt 'A m m 2'
_space_group_IT_number 38
_space_group_name_Hall 'A 2 -2'
loop_
_atom_site_label
_atom_site_type_symbol
_atom_site_fract_x
_atom_site_fract_y
_atom_site_fract_z
_atom_site_occupancy
Sm1 Sm 0.0000 0.0000 0.0000 1
Sm2 Sm 0.5000 0.2475 0.0979 1
Tm1 Tm 0.0000 0.0000 0.6742 1
Tm2 Tm 0.0000 0.1630 0.3482 1
Ni1 Ni 0.5000 0.0000 0.2301 1
Ni2 Ni 0.5000 0.0000 0.4681 1
Ni3 Ni 0.5000 0.1233 0.8353 1
```

Computed properties:
DFT formation energy   -0.30 eV per atom

Compound: Pa2PO3
Source: Alexandria via LeMat-Bulk
Functional: PBE
Structure: optimized geometry

Structure (CIF):
```
data_Pa2PO3
_chemical_formula_sum 'Pa8 P4 O12'
_cell_length_a 14.6446
_cell_length_b 3.6939
_cell_length_c 8.3095
_cell_angle_alpha 90.00
_cell_angle_beta 121.32
_cell_angle_gamma 90.00
_space_group_name_H-M_alt 'C 1 2/m 1'
_space_group_IT_number 12
_space_group_name_Hall '-C 2y'
loop_
_atom_site_label
_atom_site_type_symbol
_atom_site_fract_x
_atom_site_fract_y
_atom_site_fract_z
_atom_site_occupancy
Pa1 Pa 0.0023 0.0000 0.2868 1
Pa2 Pa 0.2030 0.5000 0.1526 1
P1 P 0.1258 0.5000 0.5899 1
O1 O 0.0352 0.5000 0.8790 1
O2 O 0.1304 0.0000 0.2219 1
O3 O 0.1784 0.0000 0.9534 1
```

Computed properties:
Raw formation energy   -2.83 eV/atom

Compound: YTlC
Source: Alexandria via LeMat-Bulk
Functional: PBE
Structure: optimized geometry

Structure (CIF):
```
data_YTlC
_chemical_formula_sum 'Y4 Tl4 C4'
_cell_length_a 6.6060
_cell_length_b 3.6794
_cell_length_c 11.3336
_cell_angle_alpha 90.00
_cell_angle_beta 105.41
_cell_angle_gamma 90.00
_space_group_name_H-M_alt 'C 1 m 1'
_space_group_IT_number 8
_space_group_name_Hall 'C -2y'
loop_
_atom_site_label
_atom_site_type_symbol
_atom_site_fract_x
_atom_site_fract_y
_atom_site_fract_z
_atom_site_occupancy
Y1 Y 0.0000 0.0000 0.0000 1
Y2 Y 0.0012 0.0000 0.7052 1
Tl1 Tl 0.2154 0.0000 0.4688 1
Tl2 Tl 0.4419 0.0000 0.2456 1
C1 C 0.2676 0.0000 0.9025 1
C2 C 0.3873 0.0000 0.8221 1
```

Computed properties:
DFT formation energy   -0.13 eV per atom

Compound: ReSnH2
Source: Alexandria via LeMat-Bulk
Functional: PBE
Structure: optimized geometry

Structure (CIF):
```
data_ReSnH2
_chemical_formula_sum 'Re4 Sn4 H8'
_cell_length_a 5.6194
_cell_length_b 5.6194
_cell_length_c 5.6194
_cell_angle_alpha 90.00
_cell_angle_beta 90.00
_cell_angle_gamma 90.00
_space_group_name_H-M_alt 'F m -3 m'
_space_group_IT_number 225
_space_group_name_Hall '-F 4 2 3'
loop_
_atom_site_label
_atom_site_type_symbol
_atom_site_fract_x
_atom_site_fract_y
_atom_site_fract_z
_atom_site_occupancy
Re1 Re 0.0000 0.0000 0.0000 1
Sn1 Sn 0.0000 0.0000 0.5000 1
H1 H 0.2500 0.2500 0.2500 1
```

Computed properties:
Offset from the most stable computed form   849 meV/atom

Compound: Tm4TlPb
Source: Alexandria via LeMat-Bulk
Functional: PBE
Structure: optimized geometry

Structure (CIF):
```
data_Tm4TlPb
_chemical_formula_sum 'Tm8 Tl2 Pb2'
_cell_length_a 10.6531
_cell_length_b 3.5619
_cell_length_c 10.5741
_cell_angle_alpha 90.00
_cell_angle_beta 116.55
_cell_angle_gamma 90.00
_space_group_name_H-M_alt 'C 1 2/m 1'
_space_group_IT_number 12
_space_group_name_Hall '-C 2y'
loop_
_atom_site_label
_atom_site_type_symbol
_atom_site_fract_x
_atom_site_fract_y
_atom_site_fract_z
_atom_site_occupancy
Tm1 Tm 0.1461 0.0000 0.3507 1
Tm2 Tm 0.1570 0.5000 0.8459 1
Tl1 Tl 0.0000 0.5000 0.5000 1
Pb1 Pb 0.0000 0.0000 0.0000 1
```

Computed properties:
Offset from the most stable computed form   185 meV/atom
DFT formation energy   -0.02 eV per atom

Compound: HfZrAgGe2
Source: Alexandria via LeMat-Bulk
Functional: PBE
Structure: optimized geometry

Structure (CIF):
```
data_HfZrAgGe2
_chemical_formula_sum 'Hf1 Zr1 Ag1 Ge2'
_cell_length_a 5.1438
_cell_length_b 5.1438
_cell_length_c 5.2120
_cell_angle_alpha 90.00
_cell_angle_beta 90.00
_cell_angle_gamma 90.00
_space_group_name_H-M_alt 'P 4/m m m'
_space_group_IT_number 123
_space_group_name_Hall '-P 4 2'
loop_
_atom_site_label
_atom_site_type_symbol
_atom_site_fract_x
_atom_site_fract_y
_atom_site_fract_z
_atom_site_occupancy
Hf1 Hf 0.0000 0.0000 0.0000 1
Zr1 Zr 0.0000 0.0000 0.5000 1
Ag1 Ag 0.5000 0.5000 0.0000 1
Ge1 Ge 0.0000 0.5000 0.5000 1
```

Computed properties:
DFT formation energy   0.87 eV per atom

Compound: HfTcW2
Source: Alexandria via LeMat-Bulk
Functional: PBE
Structure: optimized geometry

Structure (CIF):
```
data_HfTcW2
_chemical_formula_sum 'Hf4 Tc4 W8'
_cell_length_a 6.4262
_cell_length_b 6.4262
_cell_length_c 6.4262
_cell_angle_alpha 90.00
_cell_angle_beta 90.00
_cell_angle_gamma 90.00
_space_group_name_H-M_alt 'F m -3 m'
_space_group_IT_number 225
_space_group_name_Hall '-F 4 2 3'
loop_
_atom_site_label
_atom_site_type_symbol
_atom_site_fract_x
_atom_site_fract_y
_atom_site_fract_z
_atom_site_occupancy
Hf1 Hf 0.0000 0.0000 0.0000 1
Tc1 Tc 0.0000 0.0000 0.5000 1
W1 W 0.2500 0.2500 0.2500 1
```

Computed properties:
Offset from the most stable computed form   194 meV/atom
DFT formation energy   0.03 eV per atom

| no. | volume (Å³ per cell) | calculated total energy (eV/atom) |
| --- | --- | --- |
| 1 | 1348.4 | -5.826 |
| 2 | 334.5 | -9.401 |
| 3 | 112.2 | -6.420 |
| 4 | 452.1 | -6.755 |
| 5 | 135.7 | -9.338 |
| 6 | 316.9 | -8.272 |
| 7 | 169.4 | -3.368 |
| 8 | 439.6 | -5.371 |
| 9 | 384.0 | -9.374 |
| 10 | 265.6 | -6.150 |
| 11 | 177.4 | -4.520 |
| 12 | 358.9 | -4.014 |
| 13 | 137.9 | -5.252 |
| 14 | 265.4 | -11.526 |